! CoSnSO GGA+U relaxed; values from VASP
&SYSTEM
  ibrav = 0, nat = 16, ntyp = 4
/
ATOMIC_SPECIES
Co 58.93 Co.upf
O 16.00 O.upf
S 32.06 S.upf
Sn 118.71 Sn.upf
CELL_PARAMETERS angstrom
5.628 0.000 0.000
0.000 6.956 0.000
0.000 0.000 8.399
ATOMIC_POSITIONS crystal
Co 0.753 0.864 0.183
Co 0.253 0.136 0.317
Co 0.247 0.636 0.683
Co 0.747 0.364 0.817
O 0.639 0.613 0.250
O 0.139 0.387 0.250
O 0.361 0.887 0.750
O 0.861 0.113 0.750
S 0.163 0.865 0.166
S 0.663 0.135 0.334
S 0.837 0.635 0.666
S 0.337 0.365 0.834
Sn 0.808 0.383 0.137
Sn 0.308 0.617 0.363
Sn 0.192 0.117 0.637
Sn 0.692 0.883 0.863
! M_tot = 12.00 Bohr magnetons per cell
! space group = P2_12_12_1
! VASP energy = -5.200 eV per atom